No. 1
The following is a DFT calculation (PBE) of crystalline NaLi2NdSn2 at its relaxed geometry.

Properties
* ΔH_f (0 K): -428.7 meV/atom

The structure in CIF format:
```
data_NaLi2NdSn2
_chemical_formula_sum 'Na1 Li2 Nd1 Sn2'
_symmetry_space_group_name_H-M 'P -3 m 1'
_symmetry_Int_Tables_number 164
_symmetry_space_group_name_Hall '-P 3 2"'
_cell_length_a 4.9208
_cell_length_b 4.9208
_cell_length_c 7.1252
_cell_angle_alpha 90.00
_cell_angle_beta 90.00
_cell_angle_gamma 120.00
loop_
_atom_site_label
_atom_site_fract_x
_atom_site_fract_y
_atom_site_fract_z
Na1 0.0000 0.0000 0.0000
Li1 0.3333 0.6667 0.7729
Nd1 0.0000 0.0000 0.5000
Sn1 0.3333 0.6667 0.2779
```


No. 2
The following is a DFT calculation (PBE) of crystalline PrSmGdCd at its relaxed geometry.

Properties
* ΔH_f (0 K): -47.8 meV/atom

The structure in CIF format:
```
data_PrSmGdCd
_chemical_formula_sum 'Pr4 Sm4 Gd4 Cd4'
_symmetry_space_group_name_H-M 'F -4 3 m'
_symmetry_Int_Tables_number 216
_symmetry_space_group_name_Hall 'F -4 2 3'
_cell_length_a 7.866
_cell_length_b 7.866
_cell_length_c 7.866
_cell_angle_alpha 90.00
_cell_angle_beta 90.00
_cell_angle_gamma 90.00
loop_
_atom_site_label
_atom_site_fract_x
_atom_site_fract_y
_atom_site_fract_z
Pr1 0.000 0.000 0.000
Sm1 0.000 0.000 0.500
Gd1 0.250 0.250 0.750
Cd1 0.250 0.250 0.250
```


No. 3
The following is a DFT calculation (PBE) of crystalline LiLa2CrSi at its relaxed geometry.

Properties
* uncorrected formation energy: 2.128 eV/f.u.

The structure in CIF format:
```
data_LiLa2CrSi
_chemical_formula_sum 'Li1 La2 Cr1 Si1'
_symmetry_space_group_name_H-M 'P 4/m m m'
_symmetry_Int_Tables_number 123
_symmetry_space_group_name_Hall '-P 4 2'
_cell_length_a 5.480
_cell_length_b 5.480
_cell_length_c 4.342
_cell_angle_alpha 90.00
_cell_angle_beta 90.00
_cell_angle_gamma 90.00
loop_
_atom_site_label
_atom_site_fract_x
_atom_site_fract_y
_atom_site_fract_z
Li1 0.000 0.000 0.000
La1 0.000 0.500 0.000
Cr1 0.500 0.500 0.500
Si1 0.000 0.000 0.500
```


No. 4
The following is a DFT calculation (PBE) of crystalline Tl2TeAs2 at its relaxed geometry.

Properties
* uncorrected formation energy: 0.690 eV/f.u.
* offset from the most stable computed form: 104.6 meV per atom

The structure in CIF format:
```
data_Tl2TeAs2
_chemical_formula_sum 'Tl4 Te2 As4'
_symmetry_space_group_name_H-M 'P 4/m b m'
_symmetry_Int_Tables_number 127
_symmetry_space_group_name_Hall '-P 4 2ab'
_cell_length_a 9.940
_cell_length_b 9.940
_cell_length_c 3.030
_cell_angle_alpha 90.00
_cell_angle_beta 90.00
_cell_angle_gamma 90.00
loop_
_atom_site_label
_atom_site_fract_x
_atom_site_fract_y
_atom_site_fract_z
Tl1 0.198 0.302 0.000
Te1 0.000 0.000 0.000
As1 0.085 0.585 0.500
```


No. 5
The following is a DFT calculation (PBE) of crystalline Tb2BrN at its relaxed geometry.

Properties
* uncorrected formation energy: -5.685 eV/f.u.

The structure in CIF format:
```
data_Tb2BrN
_chemical_formula_sum 'Tb6 Br3 N3'
_symmetry_space_group_name_H-M 'R 3 m'
_symmetry_Int_Tables_number 160
_symmetry_space_group_name_Hall 'R 3 -2"'
_cell_length_a 3.6038
_cell_length_b 3.6038
_cell_length_c 21.3279
_cell_angle_alpha 90.00
_cell_angle_beta 90.00
_cell_angle_gamma 120.00
loop_
_atom_site_label
_atom_site_fract_x
_atom_site_fract_y
_atom_site_fract_z
Tb1 0.0000 0.0000 0.0000
Tb2 0.0000 0.0000 0.2141
Br1 0.0000 0.0000 0.4401
N1 0.0000 0.0000 0.6109
```


No. 6
The following is a DFT calculation (PBE) of crystalline GaIrRh3 at its relaxed geometry.

Properties
* ΔH_f (0 K): 1135.4 meV/atom
* offset from the most stable computed form: 1327.3 meV per atom

The structure in CIF format:
```
data_GaIrRh3
_chemical_formula_sum 'Ga1 Ir1 Rh3'
_symmetry_space_group_name_H-M 'P m -3 m'
_symmetry_Int_Tables_number 221
_symmetry_space_group_name_Hall '-P 4 2 3'
_cell_length_a 4.451
_cell_length_b 4.451
_cell_length_c 4.451
_cell_angle_alpha 90.00
_cell_angle_beta 90.00
_cell_angle_gamma 90.00
loop_
_atom_site_label
_atom_site_fract_x
_atom_site_fract_y
_atom_site_fract_z
Ga1 0.000 0.000 0.000
Ir1 0.500 0.500 0.500
Rh1 0.000 0.000 0.500
```


No. 7
The following is a DFT calculation (PBE) of crystalline CuBPt3 at its relaxed geometry.

Properties
* ΔH_f (0 K): -219.9 meV/atom
* offset from the most stable computed form: 0.0 meV per atom

The structure in CIF format:
```
data_CuBPt3
_chemical_formula_sum 'Cu6 B6 Pt18'
_symmetry_space_group_name_H-M 'R -3 m'
_symmetry_Int_Tables_number 166
_symmetry_space_group_name_Hall '-R 3 2"'
_cell_length_a 5.5629
_cell_length_b 5.5629
_cell_length_c 15.8616
_cell_angle_alpha 90.00
_cell_angle_beta 90.00
_cell_angle_gamma 120.00
loop_
_atom_site_label
_atom_site_fract_x
_atom_site_fract_y
_atom_site_fract_z
Cu1 0.0000 0.0000 0.0975
B1 0.0000 0.0000 0.3331
Pt1 0.0007 0.5004 0.0909
```


No. 8
The following is a DFT calculation (PBE) of crystalline Y4Er15Sc at its relaxed geometry.

Properties
* ΔH_f (0 K): 29.7 meV/atom

The structure in CIF format:
```
data_Y4Er15Sc
_chemical_formula_sum 'Y4 Er15 Sc1'
_symmetry_space_group_name_H-M 'P 4/m m m'
_symmetry_Int_Tables_number 123
_symmetry_space_group_name_Hall '-P 4 2'
_cell_length_a 4.963
_cell_length_b 4.963
_cell_length_c 24.779
_cell_angle_alpha 90.00
_cell_angle_beta 90.00
_cell_angle_gamma 90.00
loop_
_atom_site_label
_atom_site_fract_x
_atom_site_fract_y
_atom_site_fract_z
Y1 0.000 0.000 0.101
Y2 0.000 0.000 0.302
Er1 0.000 0.500 0.000
Er2 0.000 0.500 0.202
Er3 0.000 0.500 0.404
Er4 0.500 0.500 0.101
Er5 0.500 0.500 0.303
Er6 0.500 0.500 0.500
Sc1 0.000 0.000 0.500
```


Mass density readings, ordered: 4.7; 7.7; 4.6; 7.6; 8.6; 10.7; 15.5; 7.9 Mg/m³